(1)
# Dy5YHo

Dy5YHo after structural relaxation (GGA-PBE, Alexandria via LeMat-Bulk).

Computed properties:
Theoretical density (g cm⁻³): 7.91
Formation enthalpy at 0 K (kJ per mole of atoms): 18
SG: C2/c, No. 15
Calculated volume (Å³/atom): 32.0

Cell: 6.734 6.734 12.180 Å, 107.50 107.50 59.81°
Positions (direct):
Dy: 0.082 0.357 0.746
Dy: 0.082 0.918 0.750
Dy: 0.157 0.685 0.999
Dy: 0.315 0.843 0.501
Dy: 0.357 0.082 0.246
Dy: 0.643 0.918 0.754
Dy: 0.685 0.157 0.499
Dy: 0.843 0.315 0.001
Dy: 0.918 0.082 0.250
Dy: 0.918 0.643 0.254
Y: 0.000 0.500 0.500
Y: 0.500 0.000 0.000
Ho: 0.473 0.527 0.250
Ho: 0.527 0.473 0.750

***

(2)
# Dy6YHo12

Dy6YHo12 after structural relaxation (GGA-PBE, Alexandria via LeMat-Bulk).

Computed properties:
Theoretical density (g cm⁻³): 8.28
Formation enthalpy at 0 K (kJ per mole of atoms): 15
SG: R-3, No. 148
Calculated volume (Å³/atom): 32.1

Cell: 8.487 8.487 8.487 Å, 88.32 88.32 88.32°
Positions (direct):
Dy: 0.188 0.592 0.757
Dy: 0.243 0.812 0.408
Dy: 0.408 0.243 0.812
Dy: 0.592 0.757 0.188
Dy: 0.757 0.188 0.592
Dy: 0.812 0.408 0.243
Y: 0.500 0.500 0.500
Ho: 0.044 0.273 0.936
Ho: 0.064 0.956 0.727
Ho: 0.144 0.291 0.490
Ho: 0.273 0.936 0.044
Ho: 0.291 0.490 0.144
Ho: 0.490 0.144 0.291
Ho: 0.510 0.856 0.709
Ho: 0.709 0.510 0.856
Ho: 0.727 0.064 0.956
Ho: 0.856 0.709 0.510
Ho: 0.936 0.044 0.273
Ho: 0.956 0.727 0.064

***

(3)
# Dy2Y2Ho5

Dy2Y2Ho5 after structural relaxation (GGA-PBE, Alexandria via LeMat-Bulk).

Computed properties:
Theoretical density (g cm⁻³): 7.73
Formation enthalpy at 0 K (kJ per mole of atoms): 12
SG: C2/m, No. 12
Calculated volume (Å³/atom): 31.7

Cell: 8.646 8.646 6.295 Å, 104.43 104.43 38.94°
Positions (direct):
Dy: 0.102 0.102 0.015
Dy: 0.898 0.898 0.985
Y: 0.438 0.438 0.712
Y: 0.562 0.562 0.288
Ho: 0.000 0.000 0.500
Ho: 0.209 0.209 0.570
Ho: 0.320 0.320 0.142
Ho: 0.680 0.680 0.858
Ho: 0.791 0.791 0.430

***

(4)
# DyY2Ho4

DyY2Ho4 after structural relaxation (GGA-PBE, Alexandria via LeMat-Bulk).

Computed properties:
Theoretical density (g cm⁻³): 7.49
Formation enthalpy at 0 K (kJ per mole of atoms): 13
SG: P2_1/m, No. 11
Calculated volume (Å³/atom): 31.7

Cell: 6.228 6.464 11.436 Å, 90.00 105.47 90.00°
Positions (direct):
Dy: 0.009 0.250 0.340
Dy: 0.991 0.750 0.660
Y: 0.131 0.250 0.930
Y: 0.385 0.750 0.498
Y: 0.615 0.250 0.502
Y: 0.869 0.750 0.070
Ho: 0.169 0.250 0.643
Ho: 0.307 0.750 0.943
Ho: 0.367 0.001 0.213
Ho: 0.367 0.499 0.213
Ho: 0.633 0.501 0.787
Ho: 0.633 0.999 0.787
Ho: 0.693 0.250 0.057
Ho: 0.831 0.750 0.357

***

(5)
# Dy5Y3Ho3

Dy5Y3Ho3 after structural relaxation (GGA-PBE, Alexandria via LeMat-Bulk).

Computed properties:
Theoretical density (g cm⁻³): 5.91
Formation enthalpy at 0 K (kJ per mole of atoms): 81
SG: P-62m, No. 189
Calculated volume (Å³/atom): 40.2

Cell: 9.684 9.684 5.443 Å, 90.00 90.00 120.00°
Positions (direct):
Dy: 0.000 0.270 0.000
Dy: 0.270 0.000 0.000
Dy: 0.333 0.667 0.000
Dy: 0.667 0.333 0.000
Dy: 0.730 0.730 0.000
Y: 0.000 0.634 0.000
Y: 0.366 0.366 0.000
Y: 0.634 0.000 0.000
Ho: 0.000 0.445 0.500
Ho: 0.445 0.000 0.500
Ho: 0.555 0.555 0.500

***

(6)
# Dy5Y3Ho

Dy5Y3Ho after structural relaxation (GGA-PBE, Alexandria via LeMat-Bulk).

Computed properties:
Theoretical density (g cm⁻³): 7.07
Formation enthalpy at 0 K (kJ per mole of atoms): 17
SG: C2/c, No. 15
Calculated volume (Å³/atom): 32.5

Cell: 8.782 8.782 11.353 Å, 107.23 107.23 44.78°
Positions (direct):
Dy: 0.102 0.113 0.044
Dy: 0.113 0.102 0.544
Dy: 0.181 0.819 0.750
Dy: 0.205 0.444 0.625
Dy: 0.444 0.205 0.125
Dy: 0.556 0.795 0.875
Dy: 0.795 0.556 0.375
Dy: 0.819 0.181 0.250
Dy: 0.887 0.898 0.456
Dy: 0.898 0.887 0.956
Y: 0.114 0.360 0.854
Y: 0.360 0.114 0.354
Y: 0.500 0.500 0.000
Y: 0.500 0.500 0.500
Y: 0.640 0.886 0.646
Y: 0.886 0.640 0.146
Ho: 0.274 0.726 0.250
Ho: 0.726 0.274 0.750